No. 1
DFT (GGA-PBE) results for an optimized crystal structure of Zr3ScIn4.

Calculated values
* space group: No. 123

Cell lengths 3.1626, 3.1626, 17.7665 Å; angles 90.00, 90.00, 90.00 degrees
Fractional positions:
Zr (0.0000, 0.0000, 0.0000)
Zr (0.0000, 0.0000, 0.2487)
Zr (0.0000, 0.0000, 0.7513)
Sc (0.0000, 0.0000, 0.5000)
In (0.5000, 0.5000, 0.1244)
In (0.5000, 0.5000, 0.3748)
In (0.5000, 0.5000, 0.6252)
In (0.5000, 0.5000, 0.8756)

---

No. 2
DFT (GGA-PBE) results for an optimized crystal structure of ZrSc5In6.

Calculated values
* space group: No. 71

Cell lengths 8.3892, 8.3892, 8.3892 Å; angles 148.66, 117.47, 71.61 degrees
Fractional positions:
Zr (0.0000, 0.0000, 0.0000)
Sc (0.1655, 0.6655, 0.5000)
Sc (0.3325, 0.3325, 0.0000)
Sc (0.5000, 0.0000, 0.5000)
Sc (0.6675, 0.6675, 0.0000)
Sc (0.8345, 0.3345, 0.5000)
In (0.0835, 0.8332, 0.2503)
In (0.2505, 0.5000, 0.7505)
In (0.4171, 0.1668, 0.2503)
In (0.5829, 0.8332, 0.7497)
In (0.7495, 0.5000, 0.2495)
In (0.9165, 0.1668, 0.7497)

---

No. 3
DFT (GGA-PBE) results for an optimized crystal structure of ZrSc4In.

Calculated values
* space group: No. 47
* ΔE to the lowest computed polymorph: 0 meV/atom

Cell lengths 3.2619, 4.4878, 9.6128 Å; angles 90.00, 90.00, 90.00 degrees
Fractional positions:
Zr (0.0000, 0.0000, 0.0000)
Sc (0.0000, 0.0000, 0.3359)
Sc (0.0000, 0.0000, 0.6641)
Sc (0.5000, 0.5000, 0.1602)
Sc (0.5000, 0.5000, 0.8398)
In (0.5000, 0.5000, 0.5000)

---

No. 4
DFT (GGA-PBE) results for an optimized crystal structure of Zr2Sc2In3.

Calculated values
* space group: No. 65

Cell lengths 10.8872, 10.8872, 3.1497 Å; angles 90.00, 90.00, 155.19 degrees
Fractional positions:
Zr (0.0698, 0.9302, 0.0000)
Zr (0.9302, 0.0698, 0.0000)
Sc (0.2075, 0.7925, 0.0000)
Sc (0.7925, 0.2075, 0.0000)
In (0.3506, 0.6494, 0.5000)
In (0.5000, 0.5000, 0.5000)
In (0.6494, 0.3506, 0.5000)

---

No. 5
DFT (GGA-PBE) results for an optimized crystal structure of Zr3ScIn3.

Calculated values
* space group: No. 176

Cell lengths 8.6301, 8.6301, 4.9738 Å; angles 90.00, 90.00, 120.00 degrees
Fractional positions:
Zr (0.0124, 0.2251, 0.2500)
Zr (0.2127, 0.9876, 0.2500)
Zr (0.2251, 0.2127, 0.7500)
Zr (0.7749, 0.7873, 0.2500)
Zr (0.7873, 0.0124, 0.7500)
Zr (0.9876, 0.7749, 0.7500)
Sc (0.3333, 0.6667, 0.2500)
Sc (0.6667, 0.3333, 0.7500)
In (0.0823, 0.4626, 0.7500)
In (0.3804, 0.9177, 0.7500)
In (0.4626, 0.3804, 0.2500)
In (0.5374, 0.6196, 0.7500)
In (0.6196, 0.0823, 0.2500)
In (0.9177, 0.5374, 0.2500)

---

No. 6
DFT (GGA-PBE) results for an optimized crystal structure of Zr2Sc5In4.

Calculated values
* space group: No. 10

Cell lengths 8.0329, 3.1089, 10.2204 Å; angles 90.00, 95.11, 90.00 degrees
Fractional positions:
Zr (0.0755, 0.0000, 0.1389)
Zr (0.9245, 0.0000, 0.8611)
Sc (0.1845, 0.0000, 0.6591)
Sc (0.4470, 0.0000, 0.1847)
Sc (0.5000, 0.0000, 0.5000)
Sc (0.5530, 0.0000, 0.8153)
Sc (0.8155, 0.0000, 0.3409)
In (0.1808, 0.5000, 0.3902)
In (0.2643, 0.5000, 0.9330)
In (0.7357, 0.5000, 0.0670)
In (0.8192, 0.5000, 0.6098)

---

No. 7
DFT (GGA-PBE) results for an optimized crystal structure of Zr3ScIn.

Calculated values
* space group: No. 221
* ΔE to the lowest computed polymorph: 1051 meV/atom

Cell lengths 5.0404, 5.0404, 5.0404 Å; angles 90.00, 90.00, 90.00 degrees
Fractional positions:
Zr (0.0000, 0.0000, 0.5000)
Zr (0.0000, 0.5000, 0.0000)
Zr (0.5000, 0.0000, 0.0000)
Sc (0.0000, 0.0000, 0.0000)
In (0.5000, 0.5000, 0.5000)

---

No. 8
DFT (GGA-PBE) results for an optimized crystal structure of Zr4ScIn2.

Calculated values
* space group: No. 139
* ΔE to the lowest computed polymorph: 0 meV/atom

Cell lengths 6.7613, 6.7613, 6.7613 Å; angles 131.20, 131.20, 71.49 degrees
Fractional positions:
Zr (0.0000, 0.5000, 0.5000)
Zr (0.2500, 0.7500, 0.5000)
Zr (0.5000, 0.0000, 0.5000)
Zr (0.7500, 0.2500, 0.5000)
Sc (0.0000, 0.0000, 0.0000)
In (0.3626, 0.3626, 0.0000)
In (0.6374, 0.6374, 0.0000)

---

no.,energy of formation from the pure elements (meV per atom),final energy (eV for the cell shown),spin magnetization (μB per cell)
1,-348,-45.71,0.4
2,-408,-61.53,1.6
3,-155,-37.54,0.4
4,-238,-39.64,0.5
5,-240,-83.74,0.0
6,-195,-61.85,1.3
7,925,-30.09,0.0
8,284,-44.01,0.0